1.
Below is a relaxed VInAs2Se crystal, with properties calculated at the PBE level.

Cell: 4.8688 4.8688 4.8092 Å, 90.00 90.00 90.00°
Fractional coordinates of all 5 atoms:
V: 0.0000 0.0000 0.0000
In: 0.5000 0.5000 0.5000
As: 0.0000 0.5000 0.0000
As: 0.5000 0.0000 0.0000
Se: 0.0000 0.0000 0.5000

Formation energy without anion corrections (meV per atom): 45.6
Distance to the lowest polymorph of the same formula (meV/atom): 0.0

2.
Below is a relaxed HfTiSi crystal, with properties calculated at the PBE level.

Cell: 5.2167 12.7090 4.8398 Å, 90.00 90.00 90.00°
Fractional coordinates of all 18 atoms:
Hf: 0.2500 0.1374 0.0018
Hf: 0.2500 0.3626 0.0018
Hf: 0.2500 0.7500 0.2640
Hf: 0.7500 0.2500 0.7360
Hf: 0.7500 0.6374 0.9982
Hf: 0.7500 0.8626 0.9982
Ti: 0.0000 0.0000 0.5000
Ti: 0.0000 0.5000 0.5000
Ti: 0.2500 0.7500 0.7671
Ti: 0.5000 0.0000 0.5000
Ti: 0.5000 0.5000 0.5000
Ti: 0.7500 0.2500 0.2329
Si: 0.2500 0.2500 0.4968
Si: 0.2500 0.5658 0.9963
Si: 0.2500 0.9342 0.9963
Si: 0.7500 0.0658 0.0037
Si: 0.7500 0.4342 0.0037
Si: 0.7500 0.7500 0.5032

Formation energy without anion corrections (meV per atom): -341.9

3.
Below is a relaxed YCuGe crystal, with properties calculated at the PBE level.

Cell: 5.5778 5.5778 5.6735 Å, 90.00 90.00 139.66°
Fractional coordinates of all 6 atoms:
Y: 0.1945 0.8055 0.7500
Y: 0.8055 0.1945 0.2500
Cu: 0.5000 0.5000 0.0000
Cu: 0.5000 0.5000 0.5000
Ge: 0.0936 0.9064 0.2500
Ge: 0.9064 0.0936 0.7500

Calculated total energy (eV/atom): -5.538

4.
Below is a relaxed SrMgFeH6 crystal, with properties calculated at the PBE level.

Cell: 4.6982 4.6982 4.8802 Å, 90.00 90.00 120.00°
Fractional coordinates of all 9 atoms:
Sr: 0.0000 0.0000 0.0000
Mg: 0.3333 0.6667 0.5000
Fe: 0.6667 0.3333 0.5000
H: 0.4284 0.0568 0.7104
H: 0.4284 0.3715 0.2896
H: 0.6285 0.0568 0.2896
H: 0.6285 0.5716 0.7104
H: 0.9432 0.3715 0.7104
H: 0.9432 0.5716 0.2896

Calculated total energy (eV/atom): -3.851

5.
Below is a relaxed PrSb2Pd crystal, with properties calculated at the PBE level.

Cell: 10.4198 10.4198 10.4198 Å, 19.31 19.31 19.31°
Fractional coordinates of all 4 atoms:
Pr: 0.0000 0.0000 0.0000
Sb: 0.1047 0.1047 0.1047
Sb: 0.8953 0.8953 0.8953
Pd: 0.5000 0.5000 0.5000

Formation energy without anion corrections (meV per atom): -171.2
Distance to the lowest polymorph of the same formula (meV/atom): 675.9

6.
Below is a relaxed Nd2SmHoSb4 crystal, with properties calculated at the PBE level.

Cell: 7.7448 4.4760 7.7467 Å, 90.00 109.49 90.00°
Fractional coordinates of all 8 atoms:
Nd: 0.0000 0.0000 0.0000
Nd: 0.0000 0.5000 0.5000
Sm: 0.5000 0.0000 0.5000
Ho: 0.5000 0.5000 0.0000
Sb: 0.2556 0.5000 0.2488
Sb: 0.2579 0.0000 0.7556
Sb: 0.7421 0.0000 0.2444
Sb: 0.7444 0.5000 0.7512

Formation energy without anion corrections (meV per atom): -1163.4

7.
Below is a relaxed Y5TmCu4 crystal, with properties calculated at the PBE level.

Cell: 3.4867 3.4867 19.0299 Å, 90.00 90.00 90.00°
Fractional coordinates of all 10 atoms:
Y: 0.0000 0.0000 0.0000
Y: 0.0000 0.0000 0.1839
Y: 0.0000 0.0000 0.3661
Y: 0.0000 0.0000 0.6339
Y: 0.0000 0.0000 0.8161
Tm: 0.5000 0.5000 0.5000
Cu: 0.5000 0.5000 0.0916
Cu: 0.5000 0.5000 0.2749
Cu: 0.5000 0.5000 0.7251
Cu: 0.5000 0.5000 0.9084

Calculated total energy (eV/atom): -5.499

8.
Below is a relaxed SmErAlZn crystal, with properties calculated at the PBE level.

Cell: 3.5882 3.5882 7.3064 Å, 90.00 90.00 90.00°
Fractional coordinates of all 4 atoms:
Sm: 0.0000 0.0000 0.0000
Er: 0.0000 0.0000 0.4910
Al: 0.5000 0.5000 0.7353
Zn: 0.5000 0.5000 0.2644

Distance to the lowest polymorph of the same formula (meV/atom): 0.0

9.
Below is a relaxed Na3Sm2BiSe6 crystal, with properties calculated at the PBE level.

Cell: 7.3397 7.3397 7.4485 Å, 99.45 99.45 120.00°
Fractional coordinates of all 12 atoms:
Na: 0.0000 0.0000 0.0000
Na: 0.3371 0.6629 0.0000
Na: 0.6629 0.3371 0.0000
Sm: 0.1671 0.8329 0.5000
Sm: 0.8329 0.1671 0.5000
Bi: 0.5000 0.5000 0.5000
Se: 0.0862 0.4214 0.2647
Se: 0.2426 0.2426 0.7342
Se: 0.4214 0.0862 0.2647
Se: 0.5786 0.9138 0.7353
Se: 0.7574 0.7574 0.2658
Se: 0.9138 0.5786 0.7353

Formation energy without anion corrections (meV per atom): -1375.7

10.
Below is a relaxed Cs6Au3S crystal, with properties calculated at the PBE level.

Cell: 10.4446 14.6475 6.1544 Å, 90.00 90.00 90.00°
Fractional coordinates of all 20 atoms:
Cs: 0.0115 0.2406 0.0000
Cs: 0.1518 0.0835 0.5000
Cs: 0.1801 0.4393 0.5000
Cs: 0.3199 0.9393 0.0000
Cs: 0.3482 0.5835 0.0000
Cs: 0.4885 0.7406 0.5000
Cs: 0.5115 0.2594 0.5000
Cs: 0.6518 0.4165 0.0000
Cs: 0.6801 0.0607 0.0000
Cs: 0.8199 0.5607 0.5000
Cs: 0.8482 0.9165 0.5000
Cs: 0.9885 0.7594 0.0000
Au: 0.0000 0.5000 0.0000
Au: 0.1427 0.7015 0.5000
Au: 0.3573 0.2015 0.0000
Au: 0.5000 0.0000 0.5000
Au: 0.6427 0.7985 0.0000
Au: 0.8573 0.2985 0.5000
S: 0.0000 0.0000 0.0000
S: 0.5000 0.5000 0.5000

Formation energy without anion corrections (meV per atom): -457.2

11.
Below is a relaxed TlHgRhF2 crystal, with properties calculated at the PBE level.

Cell: 4.2541 4.2541 5.5233 Å, 90.00 90.00 90.00°
Fractional coordinates of all 5 atoms:
Tl: 0.0000 0.0000 0.0000
Hg: 0.5000 0.5000 0.0000
Rh: 0.0000 0.0000 0.5000
F: 0.0000 0.5000 0.5000
F: 0.5000 0.0000 0.5000

Formation energy without anion corrections (meV per atom): -705.5

12.
Below is a relaxed AcCeBiO5 crystal, with properties calculated at the PBE level.

Cell: 6.4682 6.4682 8.3172 Å, 106.81 106.81 98.94°
Fractional coordinates of all 16 atoms:
Ac: 0.0622 0.9378 0.7500
Ac: 0.9378 0.0622 0.2500
Ce: 0.0000 0.5000 0.0000
Ce: 0.5000 0.0000 0.5000
Bi: 0.4504 0.5496 0.7500
Bi: 0.5496 0.4504 0.2500
O: 0.1832 0.2341 0.0559
O: 0.1994 0.8006 0.2500
O: 0.2254 0.6467 0.8793
O: 0.2341 0.1832 0.5559
O: 0.3533 0.7746 0.6207
O: 0.6467 0.2254 0.3793
O: 0.7659 0.8168 0.4441
O: 0.7746 0.3533 0.1207
O: 0.8006 0.1994 0.7500
O: 0.8168 0.7659 0.9441

Formation energy without anion corrections (meV per atom): -2611.9